! LiAlTeF2, optimized geometry, DFT PBE; values from VASP
! volume = 23.132 A^3/atom
! formation energy (no corrections) = -3.503 eV per formula unit
! total magnetization = 0.000 μB/atom
! energy = -3.209 eV/atom
&SYSTEM
  ibrav = 0, nat = 5, ntyp = 4
/
ATOMIC_SPECIES
Li 6.94 Li.upf
Al 26.98 Al.upf
Te 127.60 Te.upf
F 19.00 F.upf
ATOMIC_POSITIONS crystal
Li 0.0000 0.0000 0.0000
Al 0.5000 0.5000 0.0000
Te 0.5000 0.5000 0.5000
F 0.0000 0.5000 0.5000
F 0.5000 0.0000 0.5000
CELL_PARAMETERS angstrom
4.4545 0.0000 0.0000
0.0000 4.4545 0.0000
0.0000 0.0000 5.8289


! LiAl2Tl3F9, optimized geometry, DFT PBE; values from VASP
! volume = 14.541 A^3/atom
! formation energy (no corrections) = -38.246 eV per formula unit
! total magnetization = 0.000 μB/atom
! energy = -4.772 eV/atom
&SYSTEM
  ibrav = 0, nat = 15, ntyp = 4
/
ATOMIC_SPECIES
Li 6.94 Li.upf
Al 26.98 Al.upf
Tl 204.38 Tl.upf
F 19.00 F.upf
ATOMIC_POSITIONS crystal
Li 0.0000 0.0000 0.0000
Al 0.3333 0.6667 0.6561
Al 0.6667 0.3333 0.3439
Tl 0.0000 0.0000 0.5000
Tl 0.3333 0.6667 0.1445
Tl 0.6667 0.3333 0.8555
F 0.0000 0.5000 0.5000
F 0.1838 0.3676 0.7908
F 0.1838 0.8162 0.7908
F 0.3676 0.1838 0.2092
F 0.5000 0.0000 0.5000
F 0.5000 0.5000 0.5000
F 0.6324 0.8162 0.7908
F 0.8162 0.1838 0.2092
F 0.8162 0.6324 0.2092
CELL_PARAMETERS angstrom
5.8486 0.0000 0.0000
-2.9243 5.0650 0.0000
0.0000 0.0000 7.3630